Crystalline CuNiS2 at its relaxed geometry, computed with PBE-GGA.

Lattice parameters (Å, degrees): 4.7642 4.7642 9.9751 90.00 90.00 90.00
With the nearest neighbours (Å) after each atom.
Space group I4_1/amd (No. 141, origin choice 2)
Inequivalent atoms, fractional coordinates:
Cu1 0.0000 0.2500 0.3750  4 S 2.39
Ni1 0.0000 0.2500 0.8750  6 S 2.28-2.39
S1 0.0000 0.2500 0.1036  3 Ni 2.28-2.39, 2 Cu 2.39

## Properties
Total energy   -75.30 eV for the cell shown
Crystal system   tetragonal
Fermi-level density of states   1.96 states/eV/f.u.
Density   5.47 g/cm3